# 1
Compound: GdTmOsRh
Source: Alexandria
Functional: PBE
Structure: relaxed

Output
- Energy of formation from the pure elements: -477 meV per atom
- Total magnetization: 7.1 μB per formula unit

a b c (Å): 4.820 4.820 4.820
angles (deg): 60.00 60.00 60.00
Site moments in Bohr magnetons follow the coordinates.
Positions (direct):
Rh: 0.000 0.000 0.000  0.03
Os: 0.500 0.500 0.500  0.05
Tm: 0.750 0.750 0.750  -0.02
Gd: 0.250 0.250 0.250  -7.00

---

# 2
Compound: La3TbEr2
Source: Alexandria
Functional: PBE
Structure: relaxed

Output
- E above lowest polymorph: 0 meV/atom
- Energy of formation from the pure elements: 134 meV per atom
- Total magnetization: 0.0 μB per formula unit

a b c (Å): 10.075 10.075 10.075
angles (deg): 142.07 137.71 58.09
Positions (direct):
Er: 0.145 0.645 0.000
Tb: 0.250 0.276 0.026
La: 0.571 0.813 0.242
La: 0.929 0.171 0.242
Er: 0.355 0.355 0.500
Er: 0.645 0.645 0.500
La: 0.429 0.187 0.758
Er: 0.855 0.355 0.000
Tb: 0.750 0.724 0.974
La: 0.071 0.829 0.758
La: 0.250 0.776 0.526
La: 0.750 0.224 0.474

---

# 3
Compound: AcPmTa2O8
Source: Alexandria
Functional: PBE
Structure: relaxed

Output
- Formation energy from raw total energies: -3213 meV per atom
- Total magnetization: 0.0 μB per formula unit

a b c (Å): 5.453 5.453 7.029
angles (deg): 112.82 112.82 90.00
Positions (direct):
O: 0.415 0.340 0.166
O: 0.585 0.688 0.677
O: 0.312 0.909 0.323
O: 0.752 0.826 0.166
O: 0.091 0.988 0.677
Ta: 0.250 0.750 0.500
O: 0.012 0.415 0.323
O: 0.174 0.585 0.834
Ac: 0.750 0.250 0.500
Pm: 0.000 0.000 0.000
Ta: 0.500 0.500 0.000
O: 0.660 0.248 0.834

---

# 4
Compound: Ac5Pm2Dy2
Source: Alexandria
Functional: PBE
Structure: relaxed

Output
- Energy of formation from the pure elements: 54 meV per atom
- Total magnetization: 0.0 μB per formula unit

a b c (Å): 6.580 11.444 9.337
angles (deg): 35.37 62.32 61.51
Positions (direct):
Dy: 0.341 0.770 0.781
Ac: 0.992 0.665 0.667
Ac: 0.008 0.335 0.333
Ac: 0.000 0.000 0.000
Ac: 0.663 0.891 0.883
Ac: 0.337 0.109 0.117
Dy: 0.659 0.230 0.219
Pm: 0.339 0.450 0.435
Pm: 0.661 0.550 0.565

---

# 5
Compound: VNiRh3
Source: Alexandria
Functional: PBE
Structure: relaxed

Output
- E above lowest polymorph: 1333 meV/atom
- Energy of formation from the pure elements: 1112 meV per atom
- Total magnetization: 3.3 μB per formula unit

a b c (Å): 4.427 4.427 4.427
angles (deg): 90.00 90.00 90.00
Site moments in Bohr magnetons follow the coordinates.
Positions (direct):
V: 0.500 0.500 0.500  2.26
Rh: 0.500 0.000 0.000  0.00
Rh: 0.000 0.000 0.500  0.00
Ni: 0.000 0.000 0.000  0.68
Rh: 0.000 0.500 0.000  0.00

---

# 6
Compound: GaReOs2
Source: Alexandria
Functional: PBE
Structure: relaxed

Output
- Energy of formation from the pure elements: 82 meV per atom
- Total magnetization: 0.0 μB per formula unit

a b c (Å): 2.792 2.792 8.839
angles (deg): 80.91 80.91 60.00
Positions (direct):
Ga: 0.000 0.000 0.000
Re: 0.500 0.500 0.500
Os: 0.750 0.750 0.749
Os: 0.250 0.250 0.251